Density functional theory data (GGA-PBE) for a relaxed SrMgZn2Pd2 crystal.

Lattice parameters (Å, degrees): 4.444 4.444 7.249 90.00 90.00 120.00
Fractional coordinates of all 6 atoms:
Zn: 0.667 0.333 0.690
Mg: 0.000 0.000 0.500
Sr: 0.000 0.000 0.000
Pd: 0.333 0.667 0.680
Pd: 0.667 0.333 0.320
Zn: 0.333 0.667 0.310

## Properties
Energy of formation from the pure elements in eV per atom: -0.54
Symmetry: No. 164

Density functional theory data (GGA-PBE) for a relaxed Sr2MgZnPd crystal.

Lattice parameters (Å, degrees): 5.829 5.829 5.092 90.00 90.00 90.00
Fractional coordinates of all 5 atoms:
Sr: 0.000 0.500 0.000
Sr: 0.500 0.000 0.000
Mg: 0.000 0.000 0.500
Pd: 0.000 0.000 0.000
Zn: 0.500 0.500 0.500

## Properties
Energy of formation from the pure elements in eV per atom: -0.20
E above lowest polymorph in meV per atom: 0
Symmetry: No. 123

Density functional theory data (GGA-PBE) for a relaxed Sr2Mg12Zn3Pd crystal.

Lattice parameters (Å, degrees): 10.742 10.742 10.742 40.91 40.91 40.91
Fractional coordinates of all 18 atoms:
Mg: 0.071 0.071 0.657
Mg: 0.657 0.071 0.071
Zn: 0.500 0.000 0.000
Mg: 0.591 0.185 0.591
Mg: 0.591 0.591 0.185
Mg: 0.409 0.409 0.815
Mg: 0.815 0.409 0.409
Pd: 0.000 0.000 0.000
Mg: 0.343 0.929 0.929
Mg: 0.929 0.343 0.929
Mg: 0.071 0.657 0.071
Zn: 0.000 0.000 0.500
Sr: 0.351 0.351 0.351
Sr: 0.649 0.649 0.649
Mg: 0.409 0.815 0.409
Mg: 0.185 0.591 0.591
Mg: 0.929 0.929 0.343
Zn: 0.000 0.500 0.000

## Properties
Energy of formation from the pure elements in eV per atom: 0.04
Symmetry: No. 166

Density functional theory data (GGA-PBE) for a relaxed MgTa2Pd2 crystal.

Lattice parameters (Å, degrees): 7.828 7.828 2.907 90.00 90.00 90.00
Fractional coordinates of all 10 atoms:
Ta: 0.169 0.669 0.500
Pd: 0.874 0.626 0.000
Ta: 0.669 0.831 0.500
Mg: 0.500 0.500 0.000
Pd: 0.626 0.126 0.000
Ta: 0.831 0.331 0.500
Pd: 0.126 0.374 0.000
Ta: 0.331 0.169 0.500
Pd: 0.374 0.874 0.000
Mg: 0.000 0.000 0.000

## Properties
Energy of formation from the pure elements in eV per atom: -0.11
Symmetry: No. 127

Which value of energy of formation from the pure elements does entry 1 give?
-0.54 eV per atom